HgP3Br: optimized geometry, GGA-PBE.

Cell: 5.1260 5.1260 5.1260 Å, 90.00 90.00 90.00°
Last column: nearest neighbours and their distance in Å.
Positions (direct):
P 0.0000 0.5000 0.0000  2 Hg 2.56
P 0.0000 0.0000 0.5000  2 Hg 2.56
P 0.5000 0.0000 0.0000  2 Hg 2.56
Hg 0.0000 0.0000 0.0000  6 P 2.56
Br 0.5000 0.5000 0.5000  12 P 3.62

***

LiNd2Y: optimized geometry, GGA-PBE.

Values from the calculation:
As for the formation enthalpy at 0 K: 173 meV/atom.

Cell: 5.6174 5.6174 5.6174 Å, 60.00 60.00 60.00°
Last column: nearest neighbours and their distance in Å.
Positions (direct):
Nd 0.2500 0.2500 0.2500  4 Y 3.44, 4 Li 3.44
Nd 0.7500 0.7500 0.7500  4 Li 3.44, 4 Y 3.44
Li 0.0000 0.0000 0.0000  8 Nd 3.44
Y 0.5000 0.5000 0.5000  8 Nd 3.44

***

K2FeH: optimized geometry, GGA-PBE.

Cell: 5.6185 5.6185 5.6185 Å, 60.00 60.00 60.00°
Last column: nearest neighbours and their distance in Å.
Positions (direct):
K 0.2500 0.2500 0.2500  4 H 3.44, 4 Fe 3.44
K 0.7500 0.7500 0.7500  4 H 3.44, 4 Fe 3.44
H 0.0000 0.0000 0.0000  8 K 3.44
Fe 0.5000 0.5000 0.5000  8 K 3.44

***

DOS at the Fermi energy in states/eV per atom, matching the order above: 0.691, 1.232, 1.207
E in eV/cell, matching the order above: -11.01, -17.22, -10.23
Calculated volume in Å³ per cell, matching the order above: 134.7, 125.3, 125.4